# LaInCl2 PBE-GGA optimized geometry
# - Total moment: 0.0 μB/f.u.
# - Offset from the most stable computed form: 287 meV/atom
# - Space-group type: Fm-3m
# - Density: 5.302 g/cm3
data_LaInCl2
_cell_length_a 5.2387
_cell_length_b 5.2387
_cell_length_c 5.2387
_cell_angle_alpha 60.00
_cell_angle_beta 60.00
_cell_angle_gamma 60.00
_space_group_name_H-M_alt 'P 1'
_space_group_IT_number 1
_space_group_name_Hall 'P 1'
loop_
_atom_site_label
_atom_site_fract_x
_atom_site_fract_y
_atom_site_fract_z
_atom_site_occupancy
La1 0.0000 0.0000 0.0000 1
In1 0.5000 0.5000 0.5000 1
Cl1 0.2500 0.2500 0.2500 1
Cl2 0.7500 0.7500 0.7500 1

# LaIn2Cl PBE-GGA optimized geometry
# - Total moment: 0.0 μB/f.u.
# - Offset from the most stable computed form: 55 meV/atom
# - Space-group type: I-4m2
# - Density: 6.394 g/cm3
data_LaIn2Cl
_cell_length_a 5.2931
_cell_length_b 5.2931
_cell_length_c 5.2931
_cell_angle_alpha 119.96
_cell_angle_beta 119.96
_cell_angle_gamma 90.07
_space_group_name_H-M_alt 'P 1'
_space_group_IT_number 1
_space_group_name_Hall 'P 1'
loop_
_atom_site_label
_atom_site_fract_x
_atom_site_fract_y
_atom_site_fract_z
_atom_site_occupancy
La1 0.0000 0.0000 0.0000 1
In1 0.2500 0.7500 0.5000 1
In2 0.5000 0.5000 0.0000 1
Cl1 0.7500 0.2500 0.5000 1

# LaInCl3 PBE-GGA optimized geometry
# - Total moment: 1.3 μB/f.u.
# - Space-group type: Pm-3m
# - Density: 3.584 g/cm3
data_LaInCl3
_cell_length_a 5.5051
_cell_length_b 5.5051
_cell_length_c 5.5051
_cell_angle_alpha 90.00
_cell_angle_beta 90.00
_cell_angle_gamma 90.00
_space_group_name_H-M_alt 'P 1'
_space_group_IT_number 1
_space_group_name_Hall 'P 1'
loop_
_atom_site_label
_atom_site_fract_x
_atom_site_fract_y
_atom_site_fract_z
_atom_site_occupancy
La1 0.0000 0.0000 0.0000 1
In1 0.5000 0.5000 0.5000 1
Cl1 0.0000 0.5000 0.5000 1
Cl2 0.5000 0.0000 0.5000 1
Cl3 0.5000 0.5000 0.0000 1

# LaInCl2 PBE-GGA optimized geometry
# - Total moment: 0.0 μB/f.u.
# - Offset from the most stable computed form: 219 meV/atom
# - Space-group type: P4/mmm
# - Density: 5.246 g/cm3
data_LaInCl2
_cell_length_a 4.7748
_cell_length_b 4.7748
_cell_length_c 4.5069
_cell_angle_alpha 90.00
_cell_angle_beta 90.00
_cell_angle_gamma 90.00
_space_group_name_H-M_alt 'P 1'
_space_group_IT_number 1
_space_group_name_Hall 'P 1'
loop_
_atom_site_label
_atom_site_fract_x
_atom_site_fract_y
_atom_site_fract_z
_atom_site_occupancy
La1 0.0000 0.0000 0.0000 1
In1 0.5000 0.5000 0.0000 1
Cl1 0.0000 0.5000 0.5000 1
Cl2 0.5000 0.0000 0.5000 1

# LaInCl2 PBE-GGA optimized geometry
# - Total moment: 0.0 μB/f.u.
# - Offset from the most stable computed form: 30 meV/atom
# - Space-group type: Immm
# - Density: 4.489 g/cm3
data_LaInCl2
_cell_length_a 6.3341
_cell_length_b 6.3341
_cell_length_c 6.3341
_cell_angle_alpha 145.60
_cell_angle_beta 121.89
_cell_angle_gamma 69.31
_space_group_name_H-M_alt 'P 1'
_space_group_IT_number 1
_space_group_name_Hall 'P 1'
loop_
_atom_site_label
_atom_site_fract_x
_atom_site_fract_y
_atom_site_fract_z
_atom_site_occupancy
La1 0.0000 0.0000 0.0000 1
In1 0.5000 0.5000 0.0000 1
Cl1 0.2069 0.7069 0.5000 1
Cl2 0.7931 0.2931 0.5000 1

# LaIn2Cl PBE-GGA optimized geometry
# - Total moment: 0.0 μB/f.u.
# - Offset from the most stable computed form: 1 meV/atom
# - Space-group type: P4mm
# - Density: 5.494 g/cm3
data_LaIn2Cl
_cell_length_a 3.5189
_cell_length_b 3.5189
_cell_length_c 9.8619
_cell_angle_alpha 90.00
_cell_angle_beta 90.00
_cell_angle_gamma 90.00
_space_group_name_H-M_alt 'P 1'
_space_group_IT_number 1
_space_group_name_Hall 'P 1'
loop_
_atom_site_label
_atom_site_fract_x
_atom_site_fract_y
_atom_site_fract_z
_atom_site_occupancy
La1 0.0000 0.0000 0.0000 1
In1 0.0000 0.0000 0.5255 1
In2 0.5000 0.5000 0.7609 1
Cl1 0.5000 0.5000 0.1682 1

# LaInCl3 PBE-GGA optimized geometry
# - Total moment: 0.9 μB/f.u.
# - Space-group type: Pm-3m
# - Density: 3.359 g/cm3
data_LaInCl3
_cell_length_a 5.6256
_cell_length_b 5.6256
_cell_length_c 5.6256
_cell_angle_alpha 90.00
_cell_angle_beta 90.00
_cell_angle_gamma 90.00
_space_group_name_H-M_alt 'P 1'
_space_group_IT_number 1
_space_group_name_Hall 'P 1'
loop_
_atom_site_label
_atom_site_fract_x
_atom_site_fract_y
_atom_site_fract_z
_atom_site_occupancy
La1 0.0000 0.0000 0.0000 1
In1 0.5000 0.5000 0.5000 1
Cl1 0.0000 0.0000 0.5000 1
Cl2 0.0000 0.5000 0.0000 1
Cl3 0.5000 0.0000 0.0000 1

# LaInCl PBE-GGA optimized geometry
# - Total moment: 0.0 μB/f.u.
# - Space-group type: C2/m
# - Density: 4.677 g/cm3
data_LaInCl
_cell_length_a 4.5327
_cell_length_b 4.5327
_cell_length_c 11.8229
_cell_angle_alpha 100.83
_cell_angle_beta 100.83
_cell_angle_gamma 60.00
_space_group_name_H-M_alt 'P 1'
_space_group_IT_number 1
_space_group_name_Hall 'P 1'
loop_
_atom_site_label
_atom_site_fract_x
_atom_site_fract_y
_atom_site_fract_z
_atom_site_occupancy
La1 0.0897 0.0897 0.2644 1
La2 0.9103 0.9103 0.7356 1
In1 0.1854 0.1854 0.5572 1
In2 0.8146 0.8146 0.4428 1
Cl1 0.3832 0.3832 0.1425 1
Cl2 0.6168 0.6168 0.8575 1

# LaIn2Cl PBE-GGA optimized geometry
# - Total moment: 0.0 μB/f.u.
# - Offset from the most stable computed form: 286 meV/atom
# - Space-group type: I-42d
# - Density: 4.701 g/cm3
data_LaIn2Cl
_cell_length_a 7.7207
_cell_length_b 7.7207
_cell_length_c 7.7207
_cell_angle_alpha 97.23
_cell_angle_beta 97.23
_cell_angle_gamma 138.45
_space_group_name_H-M_alt 'P 1'
_space_group_IT_number 1
_space_group_name_Hall 'P 1'
loop_
_atom_site_label
_atom_site_fract_x
_atom_site_fract_y
_atom_site_fract_z
_atom_site_occupancy
La1 0.0000 0.0000 0.0000 1
La2 0.7500 0.2500 0.5000 1
In1 0.0807 0.6250 0.9557 1
In2 0.3750 0.3307 0.4557 1
In3 0.6693 0.1250 0.0443 1
In4 0.8750 0.9193 0.5443 1
Cl1 0.2500 0.7500 0.5000 1
Cl2 0.5000 0.5000 0.0000 1

# LaInCl PBE-GGA optimized geometry
# - Total moment: 0.0 μB/f.u.
# - Space-group type: I4mm
# - Density: 4.694 g/cm3
data_LaInCl
_cell_length_a 8.3731
_cell_length_b 8.3731
_cell_length_c 8.3731
_cell_angle_alpha 155.31
_cell_angle_beta 155.31
_cell_angle_gamma 35.20
_space_group_name_H-M_alt 'P 1'
_space_group_IT_number 1
_space_group_name_Hall 'P 1'
loop_
_atom_site_label
_atom_site_fract_x
_atom_site_fract_y
_atom_site_fract_z
_atom_site_occupancy
La1 0.0000 0.0000 0.0000 1
In1 0.3574 0.3574 0.0000 1
Cl1 0.6024 0.6024 0.0000 1

# LaIn2Cl PBE-GGA optimized geometry
# - Total moment: 0.0 μB/f.u.
# - Offset from the most stable computed form: 0 meV/atom
# - Space-group type: Immm
# - Density: 5.794 g/cm3
data_LaIn2Cl
_cell_length_a 7.5311
_cell_length_b 7.5311
_cell_length_c 7.5311
_cell_angle_alpha 152.37
_cell_angle_beta 144.11
_cell_angle_gamma 45.89
_space_group_name_H-M_alt 'P 1'
_space_group_IT_number 1
_space_group_name_Hall 'P 1'
loop_
_atom_site_label
_atom_site_fract_x
_atom_site_fract_y
_atom_site_fract_z
_atom_site_occupancy
La1 0.0000 0.0000 0.0000 1
In1 0.2140 0.7140 0.5000 1
In2 0.7860 0.2860 0.5000 1
Cl1 0.5000 0.5000 0.0000 1

# La2InCl2 PBE-GGA optimized geometry
# - Total moment: 0.0 μB/f.u.
# - Space-group type: I4/mmm
# - Density: 5.226 g/cm3
data_La2InCl2
_cell_length_a 8.3400
_cell_length_b 8.3400
_cell_length_c 8.3400
_cell_angle_alpha 149.70
_cell_angle_beta 149.70
_cell_angle_gamma 43.39
_space_group_name_H-M_alt 'P 1'
_space_group_IT_number 1
_space_group_name_Hall 'P 1'
loop_
_atom_site_label
_atom_site_fract_x
_atom_site_fract_y
_atom_site_fract_z
_atom_site_occupancy
La1 0.1223 0.1223 0.0000 1
La2 0.8777 0.8777 0.0000 1
In1 0.5000 0.5000 0.0000 1
Cl1 0.2500 0.7500 0.5000 1
Cl2 0.7500 0.2500 0.5000 1

# LaInCl PBE-GGA optimized geometry
# - Total moment: 0.0 μB/f.u.
# - Space-group type: F-43m
# - Density: 5.482 g/cm3
data_LaInCl
_cell_length_a 4.9849
_cell_length_b 4.9849
_cell_length_c 4.9849
_cell_angle_alpha 60.00
_cell_angle_beta 60.00
_cell_angle_gamma 60.00
_space_group_name_H-M_alt 'P 1'
_space_group_IT_number 1
_space_group_name_Hall 'P 1'
loop_
_atom_site_label
_atom_site_fract_x
_atom_site_fract_y
_atom_site_fract_z
_atom_site_occupancy
La1 0.0000 0.0000 0.0000 1
In1 0.5000 0.5000 0.5000 1
Cl1 0.7500 0.7500 0.7500 1

# LaInCl2 PBE-GGA optimized geometry
# - Total moment: 0.0 μB/f.u.
# - Offset from the most stable computed form: 152 meV/atom
# - Space-group type: Cmmm
# - Density: 4.246 g/cm3
data_LaInCl2
_cell_length_a 3.7205
_cell_length_b 3.7205
_cell_length_c 10.3241
_cell_angle_alpha 90.00
_cell_angle_beta 90.00
_cell_angle_gamma 117.32
_space_group_name_H-M_alt 'P 1'
_space_group_IT_number 1
_space_group_name_Hall 'P 1'
loop_
_atom_site_label
_atom_site_fract_x
_atom_site_fract_y
_atom_site_fract_z
_atom_site_occupancy
La1 0.0000 0.0000 0.0000 1
In1 0.0000 0.0000 0.5000 1
Cl1 0.5000 0.5000 0.2038 1
Cl2 0.5000 0.5000 0.7962 1

no.,raw total energy (eV for the cell shown),density of states at the Fermi level (states/eV per cell)
1,-15.67,5.0
2,-15.20,0.4
3,-17.04,13.4
4,-15.94,2.3
5,-16.70,1.8
6,-15.41,2.0
7,-20.73,5.9
8,-26.14,2.8
9,-28.55,1.9
10,-12.33,2.4
11,-15.42,2.6
12,-22.96,3.3
13,-11.60,3.1
14,-16.21,2.2